# 1
The following is a DFT calculation (PBE) of a relaxed Dy2TmTc crystal.

The energy of formation comes out at 0.28 eV/atom. The calculation puts the energy at -5.728 eV per atom.

Cell and atoms, written as POSCAR:
```
Dy2TmTc
1.0
1.703 0.983 10.826
-1.703 0.983 10.826
0.000 -1.966 10.826
Dy Tm Tc
2 1 1
direct
0.104 0.104 0.104 Dy
0.896 0.896 0.896 Dy
0.000 0.000 0.000 Tm
0.500 0.500 0.500 Tc
```

***

# 2
The following is a DFT calculation (PBE) of a relaxed CrFePt2 crystal.

The energy of formation comes out at -0.09 eV/atom. The calculation puts the energy at -7.634 eV per atom.

Cell and atoms, written as POSCAR:
```
CrFePt2
1.0
1.359 0.785 8.754
-1.359 0.785 8.754
0.000 -1.570 8.754
Cr Fe Pt
1 1 2
direct
0.000 0.000 0.000 Cr
0.500 0.500 0.500 Fe
0.251 0.251 0.251 Pt
0.749 0.749 0.749 Pt
```

***

# 3
The following is a DFT calculation (PBE) of a relaxed YZnCu2 crystal.

The energy of formation comes out at -0.20 eV/atom. The calculation puts the energy at -4.179 eV per atom.

Cell and atoms, written as POSCAR:
```
YZnCu2
1.0
3.651 -2.113 0.000
3.651 2.113 0.000
-2.453 0.000 4.656
Y Zn Cu
1 1 2
direct
0.000 0.000 0.000 Y
0.792 0.792 0.377 Zn
0.207 0.207 0.621 Cu
0.521 0.521 0.564 Cu
```

***

# 4
The following is a DFT calculation (PBE) of a relaxed YRhBr crystal.

The uncorrected formation energy is -1.9 eV/f.u. The calculation puts the energy at -5.790 eV per atom.

Cell and atoms, written as POSCAR:
```
YRhBr
1.0
-1.693 1.693 5.906
1.693 -1.693 5.906
1.693 1.693 -5.906
Y Rh Br
1 1 1
direct
0.000 0.000 0.000 Y
0.366 0.366 0.000 Rh
0.670 0.670 0.000 Br
```